! BaCa2NiHg PBE relaxed; values from VASP
&SYSTEM
  ibrav = 0, nat = 5, ntyp = 4
/
ATOMIC_SPECIES
Ca 40.08 Ca.upf
Hg 200.59 Hg.upf
Ni 58.69 Ni.upf
Ba 137.33 Ba.upf
ATOMIC_POSITIONS crystal
Ca 0.5000 0.0000 0.0000
Ca 0.0000 0.5000 0.0000
Hg 0.5000 0.5000 0.5000
Ni 0.0000 0.0000 0.0000
Ba 0.0000 0.0000 0.5000
CELL_PARAMETERS angstrom
5.4567 0.0000 0.0000
0.0000 5.4567 0.0000
0.0000 0.0000 5.9477
! Formation enthalpy at 0 K (kJ per mole of atoms): -11.5
! Energy above the most stable polymorph in this dataset (eV per formula unit): 0.00
! Total energy (eV/atom): -2.521